{
  "formula": "LiMg2Zn2",
  "functional": "meta-GGA SCAN",
  "state": "single point on PBEsol structure",
  "cell": [[3.103, 0.000, 0.000], [0.000, 7.664, 0.000], [0.000, 0.000, 7.664]],
  "species": ["Zn", "Zn", "Zn", "Zn", "Mg", "Mg", "Mg", "Mg", "Li", "Li"],
  "fractional_positions": [[0.000, 0.381, 0.881], [0.000, 0.881, 0.619], [0.000, 0.619, 0.119], [0.000, 0.119, 0.381], [0.500, 0.178, 0.678], [0.500, 0.678, 0.822], [0.500, 0.822, 0.322], [0.500, 0.322, 0.178], [0.000, 0.000, 0.000], [0.000, 0.500, 0.500]],
  "relative_energy_mev_per_atom": 0,
  "dft_energy_ev_per_cell": -80.094,
  "delta_e_f_ev_per_atom": -0.136,
  "space_group": "P4/mbm (127)"
}